# 1
Material: V2CdOs
Method: DFT, GGA-PBE
State: relaxed

## Properties
Electronic total energy in eV/cell: -112.17
DOS at the Fermi energy in states/eV/cell: 15.13

Geometry as POSCAR:
```
V2CdOs
1.0
7.1372 0.0000 0.0000
0.0000 7.1372 0.0000
0.0000 0.0000 5.4093
V Cd Os
8 4 4
Cartesian
1.4356 1.7843 0.6762
1.7843 5.0042 2.0285
1.7843 5.7015 4.7332
2.1330 1.7843 3.3808
5.0042 5.3529 3.3808
5.3529 1.4356 4.7332
5.3529 2.1330 2.0285
5.7015 5.3529 0.6762
0.0000 0.0000 2.7047
0.0000 3.5686 4.0570
3.5686 0.0000 1.3523
3.5686 3.5686 0.0000
0.0000 0.0000 0.0000
0.0000 3.5686 1.3523
3.5686 0.0000 4.0570
3.5686 3.5686 2.7047
```

---

# 2
Material: V3CdOs
Method: DFT, GGA-PBE
State: relaxed

## Properties
Energy above the lowest structure with this stoichiometry in kJ per mole of atoms: 0.0
DOS at the Fermi energy in states/eV/cell: 6.69

Geometry as POSCAR:
```
V3CdOs
1.0
4.6164 0.0000 0.0000
0.0000 4.6164 0.0000
0.0000 0.0000 4.6164
V Cd Os
3 1 1
Cartesian
0.0000 0.0000 2.3082
0.0000 2.3082 0.0000
2.3082 0.0000 0.0000
2.3082 2.3082 2.3082
0.0000 0.0000 0.0000
```

---

# 3
Material: VCd2Os
Method: DFT, GGA-PBE
State: relaxed

## Properties
Energy above the lowest structure with this stoichiometry in kJ per mole of atoms: 0.0
DOS at the Fermi energy in states/eV/cell: 22.47

Geometry as POSCAR:
```
VCd2Os
1.0
6.4984 0.0000 0.0000
0.0000 6.4984 0.0000
0.0000 0.0000 6.4984
V Cd Os
4 8 4
Cartesian
0.0000 0.0000 0.0000
0.0000 3.2492 3.2492
3.2492 0.0000 3.2492
3.2492 3.2492 0.0000
1.6246 1.6246 1.6246
1.6246 1.6246 4.8738
1.6246 4.8738 1.6246
1.6246 4.8738 4.8738
4.8738 1.6246 1.6246
4.8738 1.6246 4.8738
4.8738 4.8738 1.6246
4.8738 4.8738 4.8738
0.0000 0.0000 3.2492
0.0000 3.2492 0.0000
3.2492 0.0000 0.0000
3.2492 3.2492 3.2492
```